# KCu2AgI6 PBE optimized geometry
data_KCu2AgI6
_chemical_formula_sum 'K4 Cu8 Ag4 I24'
_space_group_name_H-M_alt 'C 1 2/c 1'
_space_group_IT_number 15
_space_group_name_Hall '-C 2yc'
_cell_length_a 16.026
_cell_length_b 13.944
_cell_length_c 8.390
_cell_angle_alpha 90.00
_cell_angle_beta 116.81
_cell_angle_gamma 90.00
loop_
_atom_site_label
_atom_site_fract_x
_atom_site_fract_y
_atom_site_fract_z
K1 0.000 0.159 0.250
Cu1 0.202 0.433 0.176
Ag1 0.000 0.196 0.750
I1 0.119 0.056 0.686
I2 0.134 0.455 0.399
I3 0.139 0.258 0.073
# ΔE_f (raw)	-0.3607	eV/atom
# VASP energy	-0.1841	Ry per atom

# K2CuAgI5 PBE optimized geometry
data_K2CuAgI5
_chemical_formula_sum 'K8 Cu4 Ag4 I20'
_space_group_name_H-M_alt 'C m c 21'
_space_group_IT_number 36
_space_group_name_Hall 'C 2c -2'
_cell_length_a 4.381
_cell_length_b 22.697
_cell_length_c 13.856
_cell_angle_alpha 90.00
_cell_angle_beta 90.00
_cell_angle_gamma 90.00
loop_
_atom_site_label
_atom_site_fract_x
_atom_site_fract_y
_atom_site_fract_z
K1 0.000 0.113 0.000
K2 0.000 0.126 0.378
Cu1 0.000 0.436 0.128
Ag1 0.000 0.223 0.727
I1 0.000 0.033 0.717
I2 0.000 0.286 0.371
I3 0.000 0.323 0.095
I4 0.000 0.348 0.687
I5 0.000 0.489 0.960
# ΔE_f (raw)	-0.7145	eV/atom
# VASP energy	-0.1905	Ry per atom

# KCu4Ag3I12 PBE optimized geometry
data_KCu4Ag3I12
_chemical_formula_sum 'K3 Cu12 Ag9 I36'
_space_group_name_H-M_alt 'R 3 2'
_space_group_IT_number 155
_space_group_name_Hall 'R 3 2"'
_cell_length_a 15.1836
_cell_length_b 15.1836
_cell_length_c 11.8218
_cell_angle_alpha 90.00
_cell_angle_beta 90.00
_cell_angle_gamma 120.00
loop_
_atom_site_label
_atom_site_fract_x
_atom_site_fract_y
_atom_site_fract_z
K1 0.0000 0.0000 0.0000
Cu1 0.0000 0.0000 0.5000
Cu2 0.0000 0.4200 0.5000
Ag1 0.0000 0.5675 0.0000
I1 0.0000 0.5876 0.5000
I2 0.0000 0.8343 0.5000
I3 0.0478 0.2036 0.1990
# ΔE_f (raw)	-0.2119	eV/atom
# VASP energy	-0.1796	Ry per atom

# K2Cu2AgI6 PBE optimized geometry
data_K2Cu2AgI6
_chemical_formula_sum 'K2 Cu2 Ag1 I6'
_space_group_name_H-M_alt 'P -3'
_space_group_IT_number 147
_space_group_name_Hall '-P 3'
_cell_length_a 8.1538
_cell_length_b 8.1538
_cell_length_c 7.8507
_cell_angle_alpha 90.00
_cell_angle_beta 90.00
_cell_angle_gamma 120.00
loop_
_atom_site_label
_atom_site_fract_x
_atom_site_fract_y
_atom_site_fract_z
K1 0.3333 0.6667 0.3555
Cu1 0.3333 0.6667 0.8022
Ag1 0.0000 0.0000 0.0000
I1 0.0800 0.3267 0.7633
# ΔE_f (raw)	-0.5614	eV/atom
# VASP energy	-0.1919	Ry per atom

# KCuAgI4 PBE optimized geometry
data_KCuAgI4
_chemical_formula_sum 'K2 Cu2 Ag2 I8'
_space_group_name_H-M_alt 'P 1 21/m 1'
_space_group_IT_number 11
_space_group_name_Hall '-P 2yb'
_cell_length_a 6.893
_cell_length_b 7.350
_cell_length_c 11.567
_cell_angle_alpha 90.00
_cell_angle_beta 101.42
_cell_angle_gamma 90.00
loop_
_atom_site_label
_atom_site_fract_x
_atom_site_fract_y
_atom_site_fract_z
K1 0.200 0.250 0.031
Cu1 0.221 0.750 0.295
Ag1 0.342 0.250 0.718
I1 0.038 0.511 0.737
I2 0.346 0.750 0.074
I3 0.488 0.750 0.482
# ΔE_f (raw)	-0.4964	eV/atom
# VASP energy	-0.1861	Ry per atom

# K3Cu2AgI8 PBE optimized geometry
data_K3Cu2AgI8
_chemical_formula_sum 'K3 Cu2 Ag1 I8'
_space_group_name_H-M_alt 'P -3 m 1'
_space_group_IT_number 164
_space_group_name_Hall '-P 3 2"'
_cell_length_a 8.0936
_cell_length_b 8.0936
_cell_length_c 10.0080
_cell_angle_alpha 90.00
_cell_angle_beta 90.00
_cell_angle_gamma 120.00
loop_
_atom_site_label
_atom_site_fract_x
_atom_site_fract_y
_atom_site_fract_z
K1 0.0000 0.0000 0.0000
K2 0.3333 0.6667 0.6040
Cu1 0.3333 0.6667 0.1984
Ag1 0.0000 0.0000 0.5000
I1 0.1654 0.3307 0.3149
I2 0.3333 0.6667 0.9499
# ΔE_f (raw)	-0.6528	eV/atom
# VASP energy	-0.1884	Ry per atom

# KCuAg2I4 PBE optimized geometry
data_KCuAg2I4
_chemical_formula_sum 'K2 Cu2 Ag4 I8'
_space_group_name_H-M_alt 'P m n 21'
_space_group_IT_number 31
_space_group_name_Hall 'P 2ac -2'
_cell_length_a 9.903
_cell_length_b 8.002
_cell_length_c 7.818
_cell_angle_alpha 90.00
_cell_angle_beta 90.00
_cell_angle_gamma 90.00
loop_
_atom_site_label
_atom_site_fract_x
_atom_site_fract_y
_atom_site_fract_z
K1 0.000 0.162 0.000
Cu1 0.000 0.815 0.494
Ag1 0.248 0.333 0.488
I1 0.000 0.142 0.443
I2 0.000 0.765 0.828
I3 0.208 0.664 0.353
# ΔE_f (raw)	-0.5067	eV/atom
# VASP energy	-0.1943	Ry per atom

# LiCuAg2I4 PBE optimized geometry
data_LiCuAg2I4
_chemical_formula_sum 'Li2 Cu2 Ag4 I8'
_space_group_name_H-M_alt 'P m n 21'
_space_group_IT_number 31
_space_group_name_Hall 'P 2ac -2'
_cell_length_a 9.109
_cell_length_b 7.878
_cell_length_c 7.470
_cell_angle_alpha 90.00
_cell_angle_beta 90.00
_cell_angle_gamma 90.00
loop_
_atom_site_label
_atom_site_fract_x
_atom_site_fract_y
_atom_site_fract_z
Li1 0.000 0.163 0.000
Cu1 0.000 0.834 0.502
Ag1 0.249 0.330 0.506
I1 0.000 0.145 0.375
I2 0.000 0.837 0.855
I3 0.239 0.677 0.389
# ΔE_f (raw)	-0.4615	eV/atom
# VASP energy	-0.1985	Ry per atom

# LiCu2AgI6 PBE optimized geometry
data_LiCu2AgI6
_chemical_formula_sum 'Li4 Cu8 Ag4 I24'
_space_group_name_H-M_alt 'C 1 2/c 1'
_space_group_IT_number 15
_space_group_name_Hall '-C 2yc'
_cell_length_a 13.877
_cell_length_b 12.897
_cell_length_c 7.355
_cell_angle_alpha 90.00
_cell_angle_beta 102.54
_cell_angle_gamma 90.00
loop_
_atom_site_label
_atom_site_fract_x
_atom_site_fract_y
_atom_site_fract_z
Li1 0.000 0.235 0.250
Cu1 0.189 0.086 0.811
Ag1 0.000 0.398 0.750
I1 0.119 0.412 0.125
I2 0.127 0.078 0.117
I3 0.130 0.249 0.616
# ΔE_f (raw)	-0.3133	eV/atom
# VASP energy	-0.1866	Ry per atom

# Li2CuAgI4 PBE optimized geometry
data_Li2CuAgI4
_chemical_formula_sum 'Li4 Cu2 Ag2 I8'
_space_group_name_H-M_alt 'P m n 21'
_space_group_IT_number 31
_space_group_name_Hall 'P 2ac -2'
_cell_length_a 9.061
_cell_length_b 7.780
_cell_length_c 7.411
_cell_angle_alpha 90.00
_cell_angle_beta 90.00
_cell_angle_gamma 90.00
loop_
_atom_site_label
_atom_site_fract_x
_atom_site_fract_y
_atom_site_fract_z
Li1 0.249 0.171 0.000
Cu1 0.000 0.669 0.000
Ag1 0.000 0.334 0.500
I1 0.000 0.349 0.887
I2 0.000 0.677 0.356
I3 0.235 0.832 0.877
# ΔE_f (raw)	-0.7001	eV/atom
# VASP energy	-0.2074	Ry per atom

# MgCu2AgI6 PBE optimized geometry
data_MgCu2AgI6
_chemical_formula_sum 'Mg4 Cu8 Ag4 I24'
_space_group_name_H-M_alt 'C 1 2/c 1'
_space_group_IT_number 15
_space_group_name_Hall '-C 2yc'
_cell_length_a 15.163
_cell_length_b 16.018
_cell_length_c 7.319
_cell_angle_alpha 90.00
_cell_angle_beta 115.96
_cell_angle_gamma 90.00
loop_
_atom_site_label
_atom_site_fract_x
_atom_site_fract_y
_atom_site_fract_z
Mg1 0.000 0.195 0.250
Cu1 0.201 0.422 0.734
Ag1 0.000 0.192 0.750
I1 0.107 0.092 0.113
I2 0.132 0.265 0.613
I3 0.132 0.457 0.990
# ΔE_f (raw)	-0.3657	eV/atom
# VASP energy	-0.1881	Ry per atom

# MnCuAgI5 PBE optimized geometry
data_MnCuAgI5
_chemical_formula_sum 'Mn4 Cu4 Ag4 I20'
_space_group_name_H-M_alt 'C 1 2/c 1'
_space_group_IT_number 15
_space_group_name_Hall '-C 2yc'
_cell_length_a 9.093
_cell_length_b 11.568
_cell_length_c 11.801
_cell_angle_alpha 90.00
_cell_angle_beta 94.31
_cell_angle_gamma 90.00
loop_
_atom_site_label
_atom_site_fract_x
_atom_site_fract_y
_atom_site_fract_z
Mn1 0.000 0.112 0.250
Cu1 0.000 0.433 0.250
Ag1 0.250 0.250 0.000
I1 0.000 0.113 0.750
I2 0.027 0.284 0.421
I3 0.202 0.402 0.773
# ΔE_f (raw)	-0.1860	eV/atom
# VASP energy	-0.2330	Ry per atom